# HgAsAu4

A relaxed HgAsAu4 crystal (GGA-PBE, Alexandria).

Its size of the total moment is 0.00 μB/cell. Its density of states at the Fermi level is 0.70 states/eV per atom. Its calculated formation energy is 0.243 eV per atom.

The structure belongs to space group F-43m (No. 216); the cell edges are 7.870, 7.870 and 7.870 Å and the angles 90.00°, 90.00° and 90.00°. The inequivalent atoms are Hg at (0.000, 0.000, 0.000), As at (0.250, 0.250, 0.750) and Au at (0.125, 0.125, 0.375).

---

# HgSe3O

A relaxed HgSe3O crystal (GGA-PBE, Alexandria).

Its size of the total moment is 0.00 μB/cell. The calculation puts the formation energy from raw total energies at 2.49 eV/f.u. Its density of states at the Fermi level is 0.68 states/eV per atom. The calculation puts the energy above the most stable polymorph in this dataset at 0.0000 eV/atom.

The structure belongs to space group Pm-3m (No. 221); the cell edges are 4.605, 4.605 and 4.605 Å and the angles 90.00°, 90.00° and 90.00°. The inequivalent atoms are Hg at (0.000, 0.000, 0.000), Se at (0.000, 0.500, 0.500) and O at (0.500, 0.500, 0.500).

---

# CoNiRh6

A relaxed CoNiRh6 crystal (GGA-PBE, Alexandria).

Its size of the total moment is 6.55 μB/cell. Its density of states at the Fermi level is 1.86 states/eV per atom. Its calculated formation energy is 0.194 eV per atom.

The structure belongs to space group C2/m (No. 12); the cell edges are 9.415, 4.508 and 5.415 Å and the angles 90.00°, 106.69° and 90.00°. The inequivalent atoms are Co at (0.000, 0.000, 0.000), Ni at (0.000, 0.000, 0.500), Rh at (0.002, 0.500, 0.751), Rh at (0.235, 0.000, 0.368) and Rh at (0.235, 0.000, 0.867).

---

# SrCuSbI2

A relaxed SrCuSbI2 crystal (GGA-PBE, Alexandria).

Its size of the total moment is 0.62 μB/cell. The calculation puts the formation energy from raw total energies at -1.69 eV/f.u. Its density of states at the Fermi level is 1.01 states/eV per atom. The calculation puts the energy above the most stable polymorph in this dataset at 0.0000 eV/atom.

The structure belongs to space group P4/mmm (No. 123); the cell edges are 5.539, 5.539 and 5.269 Å and the angles 90.00°, 90.00° and 90.00°. The inequivalent atoms are Sr at (0.000, 0.000, 0.000), Cu at (0.500, 0.500, 0.500), Sb at (0.500, 0.500, 0.000) and I at (0.000, 0.500, 0.500).

---

# Ce5Te2CSe

A relaxed Ce5Te2CSe crystal (GGA-PBE, Alexandria).

Its size of the total moment is 3.82 μB/cell. The calculation puts the formation energy from raw total energies at -8.52 eV/f.u. Its density of states at the Fermi level is 2.74 states/eV per atom.

The structure belongs to space group P4/mmm (No. 123); the cell edges are 4.688, 4.688 and 11.204 Å and the angles 90.00°, 90.00° and 90.00°. The inequivalent atoms are Ce at (0.000, 0.000, 0.000), Ce at (0.000, 0.500, 0.500), Ce at (0.500, 0.500, 0.263), Te at (0.000, 0.000, 0.289), C at (0.500, 0.500, 0.500) and Se at (0.500, 0.500, 0.000).

---

# CoCu2Si

A relaxed CoCu2Si crystal (GGA-PBE, Alexandria).

Its size of the total moment is 0.00 μB/cell. The calculation puts the formation energy from raw total energies at -0.44 eV/f.u. Its density of states at the Fermi level is 0.73 states/eV per atom.

The structure belongs to space group F-43m (No. 216); the cell edges are 5.670, 5.670 and 5.670 Å and the angles 90.00°, 90.00° and 90.00°. The inequivalent atoms are Co at (0.000, 0.000, 0.000), Cu at (0.000, 0.000, 0.500), Cu at (0.250, 0.250, 0.250) and Si at (0.250, 0.250, 0.750).

---

# Ce4Dy3ErTe8

A relaxed Ce4Dy3ErTe8 crystal (GGA-PBE, Alexandria).

Its size of the total moment is 7.22 μB/cell. The calculation puts the formation energy from raw total energies at -21.20 eV/f.u. Its density of states at the Fermi level is 1.97 states/eV per atom.

The structure belongs to space group R-3m (No. 166, hexagonal axes); the cell edges are 8.7722, 8.7722 and 21.9395 Å and the angles 90.00°, 90.00° and 120.00°. The inequivalent atoms are Ce at (0.0000, 0.0000, 0.0000), Ce at (0.0000, 0.5000, 0.0000), Dy at (0.0000, 0.5000, 0.5000), Er at (0.0000, 0.0000, 0.5000), Te at (0.0000, 0.0000, 0.2462) and Te at (0.0014, 0.5007, 0.2459).